This record from the Alexandria database describes crystalline Mn2TlO at its relaxed geometry. The functional is PBE with a Hubbard U.

Output
Energy above the lowest structure with this stoichiometry (eV/atom): 0.820
Size of the total moment (Bohr magnetons per cell): 8.56
Raw total energy (eV/cell): -20.77
D(E_F) (states/eV per atom): 1.017

Structure (POSCAR):
```
Mn2TlO
1.0
0.000 3.274 3.274
3.274 0.000 3.274
3.274 3.274 0.000
Mn Tl O
2 1 1
direct
0.250 0.250 0.250 Mn
0.750 0.750 0.750 Mn
0.000 0.000 0.000 Tl
0.500 0.500 0.500 O
```